1.
Compound: Nb2AlBiBr
Source: Alexandria via LeMat-Bulk
Functional: PBE
Structure: optimized geometry

Cell lengths 5.005, 5.005, 5.119 Å; angles 90.00, 90.00, 90.00 degrees
Fractional coordinates of all 5 atoms:
Nb: 0.000 0.500 0.000
Nb: 0.500 0.000 0.000
Al: 0.000 0.000 0.000
Bi: 0.000 0.000 0.500
Br: 0.500 0.500 0.500

Properties
* symmetry: No. 123
* spin magnetization: 0.0 Bohr magnetons per cell
* E_form (uncorrected): 1.211 eV/atom

2.
Compound: AlBiSe2Br
Source: Alexandria via LeMat-Bulk
Functional: PBE
Structure: optimized geometry

Cell lengths 5.042, 5.042, 4.883 Å; angles 90.00, 90.00, 90.00 degrees
Fractional coordinates of all 5 atoms:
Al: 0.000 0.000 0.000
Bi: 0.500 0.500 0.500
Se: 0.000 0.500 0.000
Se: 0.500 0.000 0.000
Br: 0.000 0.000 0.500

Properties
* symmetry: No. 123
* spin magnetization: 0.0 Bohr magnetons per cell
* E_form (uncorrected): -0.201 eV/atom

3.
Compound: AlBiSeBr2
Source: Alexandria via LeMat-Bulk
Functional: PBE
Structure: optimized geometry

Cell lengths 5.767, 5.767, 5.590 Å; angles 90.00, 90.00, 90.00 degrees
Fractional coordinates of all 5 atoms:
Al: 0.000 0.000 0.000
Bi: 0.500 0.500 0.500
Se: 0.500 0.500 0.000
Br: 0.000 0.500 0.500
Br: 0.500 0.000 0.500

Properties
* symmetry: No. 123
* spin magnetization: 0.0 Bohr magnetons per cell
* E_form (uncorrected): -0.067 eV/atom

4.
Compound: AlBiSe2Br
Source: Alexandria via LeMat-Bulk
Functional: PBE
Structure: optimized geometry

Cell lengths 5.503, 5.503, 5.797 Å; angles 90.00, 90.00, 90.00 degrees
Fractional coordinates of all 5 atoms:
Al: 0.000 0.000 0.000
Bi: 0.500 0.500 0.500
Se: 0.000 0.500 0.500
Se: 0.500 0.000 0.500
Br: 0.500 0.500 0.000

Properties
* symmetry: No. 123
* spin magnetization: 0.0 Bohr magnetons per cell
* E_form (uncorrected): 0.190 eV/atom

5.
Compound: Al2BiSeBr
Source: Alexandria via LeMat-Bulk
Functional: PBE
Structure: optimized geometry

Cell lengths 5.213, 5.213, 5.385 Å; angles 90.00, 90.00, 90.00 degrees
Fractional coordinates of all 5 atoms:
Al: 0.000 0.500 0.000
Al: 0.500 0.000 0.000
Bi: 0.000 0.000 0.500
Se: 0.500 0.500 0.500
Br: 0.500 0.500 0.000

Properties
* symmetry: No. 123
* spin magnetization: 0.0 Bohr magnetons per cell
* E_form (uncorrected): 0.640 eV/atom

6.
Compound: AlBiSeBr2
Source: Alexandria via LeMat-Bulk
Functional: PBE
Structure: optimized geometry

Cell lengths 5.036, 5.036, 5.147 Å; angles 90.00, 90.00, 90.00 degrees
Fractional coordinates of all 5 atoms:
Al: 0.000 0.000 0.000
Bi: 0.500 0.500 0.500
Se: 0.000 0.000 0.500
Br: 0.000 0.500 0.000
Br: 0.500 0.000 0.000

Properties
* symmetry: No. 123
* spin magnetization: 0.0 Bohr magnetons per cell
* E_form (uncorrected): -0.211 eV/atom

7.
Compound: Al2BiC
Source: Alexandria via LeMat-Bulk
Functional: PBE
Structure: optimized geometry

Cell lengths 6.673, 6.673, 6.673 Å; angles 90.00, 90.00, 90.00 degrees
Fractional coordinates of all 16 atoms:
Al: 0.250 0.250 0.250
Al: 0.250 0.250 0.750
Al: 0.250 0.750 0.250
Al: 0.250 0.750 0.750
Al: 0.750 0.250 0.250
Al: 0.750 0.250 0.750
Al: 0.750 0.750 0.250
Al: 0.750 0.750 0.750
Bi: 0.000 0.000 0.000
Bi: 0.000 0.500 0.500
Bi: 0.500 0.000 0.500
Bi: 0.500 0.500 0.000
C: 0.000 0.000 0.500
C: 0.000 0.500 0.000
C: 0.500 0.000 0.000
C: 0.500 0.500 0.500

Properties
* symmetry: No. 225
* raw total energy: -3.6883 eV per atom
* spin magnetization: 0.0 Bohr magnetons per cell

8.
Compound: Al2BiC
Source: Alexandria via LeMat-Bulk
Functional: PBE
Structure: optimized geometry

Cell lengths 5.640, 5.640, 9.961 Å; angles 90.00, 90.00, 90.00 degrees
Fractional coordinates of all 16 atoms:
Al: 0.117 0.250 0.125
Al: 0.250 0.617 0.375
Al: 0.250 0.883 0.875
Al: 0.383 0.250 0.625
Al: 0.617 0.750 0.625
Al: 0.750 0.117 0.875
Al: 0.750 0.383 0.375
Al: 0.883 0.750 0.125
Bi: 0.000 0.000 0.500
Bi: 0.000 0.500 0.750
Bi: 0.500 0.000 0.250
Bi: 0.500 0.500 0.000
C: 0.000 0.000 0.000
C: 0.000 0.500 0.250
C: 0.500 0.000 0.750
C: 0.500 0.500 0.500

Properties
* symmetry: No. 122
* raw total energy: -4.9018 eV per atom
* spin magnetization: 0.0 Bohr magnetons per cell

9.
Compound: Al2BiC2
Source: Alexandria via LeMat-Bulk
Functional: PBE
Structure: optimized geometry

Cell lengths 4.003, 4.003, 10.910 Å; angles 90.00, 90.00, 90.00 degrees
Fractional coordinates of all 10 atoms:
Al: 0.000 0.000 0.222
Al: 0.000 0.000 0.778
Al: 0.500 0.500 0.278
Al: 0.500 0.500 0.722
Bi: 0.000 0.000 0.500
Bi: 0.500 0.500 0.000
C: 0.000 0.500 0.250
C: 0.000 0.500 0.750
C: 0.500 0.000 0.250
C: 0.500 0.000 0.750

Properties
* symmetry: No. 139
* raw total energy: -4.9626 eV per atom
* spin magnetization: 0.0 Bohr magnetons per cell

10.
Compound: Al2BiC2
Source: Alexandria via LeMat-Bulk
Functional: PBE
Structure: optimized geometry

Cell lengths 7.567, 7.567, 3.199 Å; angles 90.00, 90.00, 90.00 degrees
Fractional coordinates of all 10 atoms:
Al: 0.141 0.359 0.000
Al: 0.359 0.859 0.000
Al: 0.641 0.141 0.000
Al: 0.859 0.641 0.000
Bi: 0.000 0.000 0.000
Bi: 0.500 0.500 0.000
C: 0.062 0.562 0.500
C: 0.438 0.062 0.500
C: 0.562 0.938 0.500
C: 0.938 0.438 0.500

Properties
* symmetry: No. 127
* raw total energy: -4.9809 eV per atom
* spin magnetization: 0.0 Bohr magnetons per cell

11.
Compound: AlBiC2
Source: Alexandria via LeMat-Bulk
Functional: PBE
Structure: optimized geometry

Cell lengths 6.067, 6.067, 6.067 Å; angles 90.00, 90.00, 90.00 degrees
Fractional coordinates of all 16 atoms:
Al: 0.000 0.000 0.000
Al: 0.000 0.500 0.500
Al: 0.500 0.000 0.500
Al: 0.500 0.500 0.000
Bi: 0.000 0.000 0.500
Bi: 0.000 0.500 0.000
Bi: 0.500 0.000 0.000
Bi: 0.500 0.500 0.500
C: 0.250 0.250 0.250
C: 0.250 0.250 0.750
C: 0.250 0.750 0.250
C: 0.250 0.750 0.750
C: 0.750 0.250 0.250
C: 0.750 0.250 0.750
C: 0.750 0.750 0.250
C: 0.750 0.750 0.750

Properties
* symmetry: No. 225
* raw total energy: -4.4800 eV per atom
* spin magnetization: 0.0 Bohr magnetons per cell

12.
Compound: AlBiC2
Source: Alexandria via LeMat-Bulk
Functional: PBE
Structure: optimized geometry

Cell lengths 4.967, 4.967, 10.050 Å; angles 90.00, 90.00, 90.00 degrees
Fractional coordinates of all 16 atoms:
Al: 0.000 0.000 0.000
Al: 0.000 0.500 0.250
Al: 0.500 0.000 0.750
Al: 0.500 0.500 0.500
Bi: 0.000 0.000 0.500
Bi: 0.000 0.500 0.750
Bi: 0.500 0.000 0.250
Bi: 0.500 0.500 0.000
C: 0.207 0.250 0.125
C: 0.250 0.707 0.375
C: 0.250 0.793 0.875
C: 0.293 0.250 0.625
C: 0.707 0.750 0.625
C: 0.750 0.207 0.875
C: 0.750 0.293 0.375
C: 0.793 0.750 0.125

Properties
* symmetry: No. 122
* raw total energy: -5.6842 eV per atom
* spin magnetization: 0.0 Bohr magnetons per cell